(1)
A relaxed structure of Rb2Li2ThO4, computed with GGA-PBE.

Structure (POSCAR):
```
Rb2Li2ThO4
1.0
3.656 0.000 0.000
0.000 6.868 0.161
-1.828 -2.566 5.934
Rb Li Th O
2 2 1 4
direct
0.143 0.580 0.287
0.857 0.420 0.713
0.683 0.979 0.367
0.317 0.021 0.633
0.000 0.000 0.000
0.193 0.124 0.386
0.807 0.876 0.614
0.518 0.796 0.036
0.482 0.204 0.964
```

Summary:
The value obtained for the raw formation energy is -20.54 eV per formula unit. As for the space group: No. 12.

***

(2)
A relaxed structure of RbLiThO3, computed with GGA-PBE.

Structure (POSCAR):
```
RbLiThO3
1.0
3.692 0.000 0.000
-1.846 6.283 0.000
0.000 0.000 9.282
Rb Li Th O
2 2 2 6
direct
0.734 0.469 0.750
0.266 0.531 0.250
0.456 0.913 0.750
0.544 0.087 0.250
0.000 0.000 0.500
0.000 0.000 0.000
0.605 0.210 0.441
0.395 0.790 0.559
0.395 0.790 0.941
0.605 0.210 0.059
0.036 0.073 0.750
0.964 0.927 0.250
```

Summary:
The value obtained for the raw formation energy is -16.07 eV per formula unit. As for the space group: No. 63.

***

(3)
A relaxed structure of RbLi2Ti3O8, computed with GGA-PBE.

Structure (POSCAR):
```
RbLi2Ti3O8
1.0
-1.531 -4.901 -3.414
3.914 -2.255 -4.015
2.180 -3.603 4.200
Rb Li Ti O
1 2 3 8
direct
0.006 0.992 0.469
0.966 0.980 0.964
0.648 0.678 0.392
0.497 0.989 0.966
0.031 0.469 0.008
0.494 0.502 0.916
0.326 0.304 0.162
0.609 0.680 0.745
0.152 0.154 0.847
0.633 0.159 0.803
0.159 0.630 0.817
0.780 0.381 0.138
0.391 0.768 0.148
0.801 0.806 0.147
```

Summary:
The value obtained for the raw formation energy is -34.98 eV per formula unit. As for the space group: No. 1.

***

(4)
A relaxed structure of Rb2LiTi3O8, computed with GGA-PBE.

Structure (POSCAR):
```
Rb2LiTi3O8
1.0
-5.301 -2.884 -0.183
-1.683 -2.907 -5.017
0.678 -7.601 0.544
Rb Li Ti O
2 1 3 8
direct
0.138 0.138 0.587
0.492 0.492 0.524
0.974 0.974 0.078
0.491 0.988 0.030
0.988 0.491 0.030
0.491 0.491 0.030
0.272 0.272 0.185
0.709 0.709 0.874
0.219 0.219 0.881
0.681 0.219 0.881
0.219 0.681 0.881
0.761 0.299 0.180
0.299 0.761 0.180
0.761 0.761 0.180
```

Summary:
The value obtained for the raw formation energy is -34.50 eV per formula unit. As for the space group: No. 160.

***

(5)
A relaxed structure of Rb2LiTiO4, computed with GGA-PBE.

Structure (POSCAR):
```
Rb2LiTiO4
1.0
5.012 0.000 0.000
2.506 6.103 0.000
2.506 0.000 10.227
Rb Li Ti O
4 2 2 8
direct
0.172 0.000 0.656
0.828 0.000 0.344
0.578 0.500 0.844
0.922 0.500 0.156
0.750 0.500 0.500
0.000 0.000 0.000
0.250 0.500 0.500
0.500 0.000 0.000
0.305 0.830 0.094
0.229 0.170 0.906
0.865 0.830 0.906
0.601 0.170 0.094
0.445 0.670 0.406
0.521 0.330 0.594
0.885 0.670 0.594
0.149 0.330 0.406
```

Summary:
The value obtained for the raw formation energy is -15.78 eV per formula unit. As for the space group: No. 70.

***

(6)
A relaxed structure of RbLiTlO2, computed with GGA-PBE.

Structure (POSCAR):
```
RbLiTlO2
1.0
4.924 0.000 0.000
0.000 6.698 0.000
0.000 -3.349 6.521
Rb Li Tl O
2 2 2 4
direct
0.238 0.750 0.500
0.762 0.250 0.500
0.000 0.000 0.000
0.000 0.500 0.000
0.500 0.750 0.000
0.500 0.250 0.000
0.729 0.905 0.809
0.729 0.595 0.191
0.271 0.405 0.809
0.271 0.095 0.191
```

Summary:
The value obtained for the raw formation energy is -4.86 eV per formula unit. As for the space group: No. 67.

***

(7)
A relaxed structure of RbLi2TlO, computed with GGA-PBE.

Structure (POSCAR):
```
RbLi2TlO
1.0
5.145 0.000 0.000
0.000 6.949 0.000
0.000 0.000 5.145
Tl O Rb Li
1 1 1 2
direct
0.000 0.000 0.000
0.500 0.500 0.500
0.000 0.500 0.000
0.000 0.000 0.500
0.500 0.000 0.000
```

Summary:
The value obtained for the raw formation energy is 2.12 eV per formula unit. As for the space group: No. 123.

***

(8)
A relaxed structure of Rb2Li2TlO4, computed with GGA-PBE.

Structure (POSCAR):
```
Rb2Li2TlO4
1.0
3.528 0.000 0.000
0.000 6.557 0.264
-1.764 -2.344 5.877
Rb Li Tl O
2 2 1 4
direct
0.139 0.557 0.277
0.861 0.443 0.723
0.680 0.994 0.359
0.320 0.006 0.641
0.000 0.000 0.000
0.191 0.134 0.382
0.809 0.866 0.618
0.524 0.784 0.048
0.476 0.216 0.952
```

Summary:
The value obtained for the raw formation energy is -10.63 eV per formula unit. As for the space group: No. 12.

***

(9)
A relaxed structure of Rb2Li4UO6, computed with GGA-PBE.

Structure (POSCAR):
```
Rb2Li4UO6
1.0
3.643 3.800 3.205
-3.827 -3.822 2.955
4.104 -4.025 0.108
Rb Li U O
2 4 1 6
direct
0.667 0.333 0.552
0.333 0.667 0.448
0.500 0.500 0.000
0.000 0.500 0.000
0.500 0.000 0.000
0.000 0.000 0.500
0.000 0.000 0.000
0.163 0.326 0.798
0.837 0.674 0.202
0.163 0.837 0.798
0.837 0.163 0.202
0.674 0.837 0.798
0.326 0.163 0.202
```

Summary:
The value obtained for the raw formation energy is -27.80 eV per formula unit. As for the space group: No. 164.

***

(10)
A relaxed structure of RbLi2U2O7, computed with GGA-PBE.

Structure (POSCAR):
```
RbLi2U2O7
1.0
-1.726 -2.364 -3.167
-2.524 -2.001 2.868
-4.332 8.555 -1.089
Rb Li U O
1 2 2 7
direct
0.000 0.000 0.000
0.250 0.749 0.500
0.750 0.251 0.500
0.381 0.381 0.762
0.619 0.619 0.238
0.380 0.879 0.759
0.727 0.727 0.455
0.120 0.621 0.241
0.620 0.121 0.241
0.273 0.272 0.545
0.880 0.379 0.759
0.500 0.500 0.000
```

Summary:
The value obtained for the raw formation energy is -33.33 eV per formula unit. As for the space group: No. 139.